The following is a DFT calculation (SCAN) of PmAs3 at its PBEsol-relaxed geometry.

It has space group I4/mmm (No. 139), with a = 4.091 Å, b = 4.091 Å, c = 9.947 Å, α = 90.00°, β = 90.00° and γ = 90.00°. Symmetry generates all atoms from Pm at (0.000, 0.000, 0.000), As at (0.000, 0.000, 0.500) and As at (0.000, 0.500, 0.250).

As for the formation enthalpy at 0 K: -0.59 eV/atom. The magnetic moment is 0.0 μB/f.u. The relative energy among the computed polymorphs is 0.006 eV/atom. The density of states at the Fermi level is 4.2 states/eV per cell.